Cs2RbCrS4: relaxed, PBE-GGA.

DOS(E_F) = 6.2 states/eV/f.u.
magnetic moment = 0.13 μB/atom
theoretical density = 2.20 g/cm³
total energy = -4.435 eV/atom
formation energy without anion corrections = -0.83 eV/atom

Cell lengths 7.6163, 7.4477, 16.9280 Å; angles 83.39, 77.00, 59.25 degrees
Last column: nearest neighbours and their distance in Å.
Sites, in units of the cell vectors:
Cs (0.1989, 0.0000, 0.6022)  4 S 3.58-3.69
Cs (0.8011, 0.0000, 0.3978)  4 S 3.58-3.69
Cs (0.5511, 0.5000, 0.8978)  4 S 3.58-3.69
Cs (0.9489, 0.5000, 0.1022)  4 S 3.58-3.69
Rb (0.7500, 0.5000, 0.5000)  4 S 3.15
Rb (0.0000, 0.0000, 0.0000)  4 S 3.15
Cr (0.2500, 0.5000, 0.5000)  4 S 2.14
Cr (0.5000, 0.0000, 0.0000)  4 S 2.14
S (0.4031, 0.8032, 0.0754)  1 Cr 2.14
S (0.2817, 0.1968, 0.9246)  1 Cr 2.14
S (0.7937, 0.8032, 0.9246)  1 Cr 2.14
S (0.5215, 0.1968, 0.0754)  1 Cr 2.14
S (0.3469, 0.6968, 0.4246)  1 Cr 2.14
S (0.4683, 0.3032, 0.5754)  1 Cr 2.14
S (0.9563, 0.6968, 0.5754)  1 Cr 2.14
S (0.2285, 0.3032, 0.4246)  1 Cr 2.14

---

Cs2RbCrSe4: relaxed, PBE-GGA.

DOS(E_F) = 6.0 states/eV/f.u.
magnetic moment = 0.12 μB/atom
theoretical density = 3.22 g/cm³
total energy = -4.042 eV/atom
formation energy without anion corrections = -0.76 eV/atom

Cell lengths 7.8242, 7.6837, 14.8511 Å; angles 82.29, 74.73, 59.39 degrees
Last column: nearest neighbours and their distance in Å.
Sites, in units of the cell vectors:
Cs (0.1890, 0.0000, 0.6221)  4 Se 3.73-3.79
Cs (0.8110, 0.0000, 0.3779)  4 Se 3.73-3.79
Cs (0.5610, 0.5000, 0.8779)  4 Se 3.73-3.79
Cs (0.9390, 0.5000, 0.1221)  4 Se 3.73-3.79
Rb (0.7500, 0.5000, 0.5000)  4 Se 3.26
Rb (0.0000, 0.0000, 0.0000)  4 Se 3.26
Cr (0.2500, 0.5000, 0.5000)  4 Se 2.28
Cr (0.5000, 0.0000, 0.0000)  4 Se 2.28
Se (0.3928, 0.7977, 0.0939)  1 Cr 2.28
Se (0.2844, 0.2023, 0.9061)  1 Cr 2.28
Se (0.8094, 0.7977, 0.9061)  1 Cr 2.28
Se (0.5133, 0.2023, 0.0939)  1 Cr 2.28
Se (0.3572, 0.7023, 0.4061)  1 Cr 2.28
Se (0.4656, 0.2977, 0.5939)  1 Cr 2.28
Se (0.9406, 0.7023, 0.5939)  1 Cr 2.28
Se (0.2367, 0.2977, 0.4061)  1 Cr 2.28

---

CsRbV2Cr: relaxed, PBE-GGA.

DOS(E_F) = 5.6 states/eV/f.u.
magnetic moment = 0.35 μB/atom
theoretical density = 4.86 g/cm³
ΔE_f = 7.1 eV/f.u.
total energy = -4.518 eV/atom

Cell lengths 4.4407, 6.4478, 4.4407 Å; angles 90.00, 90.00, 90.00 degrees
Last column: nearest neighbours and their distance in Å.
Sites, in units of the cell vectors:
Cs (0.5000, 0.5000, 0.5000)  4 Rb 3.14
Cr (0.0000, 0.0000, 0.0000)  4 V 2.22
Rb (0.0000, 0.5000, 0.0000)  4 Cs 3.14, 2 Cr 3.22
V (0.0000, 0.0000, 0.5000)  2 Cr 2.22
V (0.5000, 0.0000, 0.0000)  2 Cr 2.22

---

Cs3CrRe: relaxed, PBE-GGA.

DOS(E_F) = 5.4 states/eV/f.u.
magnetic moment = 1.00 μB/atom
theoretical density = 4.53 g/cm³
ΔE_f = 9.4 eV/f.u.
total energy = -3.047 eV/atom

Cell lengths 6.1586, 6.1586, 6.1586 Å; angles 90.00, 90.00, 90.00 degrees
Last column: nearest neighbours and their distance in Å.
Sites, in units of the cell vectors:
Cs (0.0000, 0.5000, 0.0000)  2 Re 3.08
Cs (0.0000, 0.0000, 0.5000)  2 Re 3.08
Cs (0.5000, 0.0000, 0.0000)  2 Re 3.08
Re (0.0000, 0.0000, 0.0000)  6 Cs 3.08
Cr (0.5000, 0.5000, 0.5000)  12 Cs 4.35